Record 1
First-principles (PBE) data for a relaxed LaSmTmS3 crystal, as listed in Alexandria.

Total magnetization = 0.34 μB/f.u.
Uncorrected formation energy = -11.04 eV per formula unit
E_tot = -6.258 eV per atom
Density of states at the Fermi level = 3.716 states/eV/f.u.

```
data_LaSmTmS3
_cell_length_a 7.620
_cell_length_b 3.975
_cell_length_c 10.149
_cell_angle_alpha 90.00
_cell_angle_beta 101.51
_cell_angle_gamma 90.00
_space_group_name_H-M_alt 'P 1'
_space_group_IT_number 1
loop_
_space_group_symop_operation_xyz
'x,y,z'
loop_
_atom_site_label
_atom_site_fract_x
_atom_site_fract_y
_atom_site_fract_z
La1 0.179 0.250 0.204
La2 0.821 0.750 0.796
Sm1 0.194 0.250 0.621
Sm2 0.806 0.750 0.379
Tm1 0.335 0.750 0.906
Tm2 0.665 0.250 0.094
S1 0.099 0.250 0.889
S2 0.188 0.750 0.427
S3 0.467 0.750 0.174
S4 0.533 0.250 0.826
S5 0.812 0.250 0.573
S6 0.901 0.750 0.111
```

Record 2
First-principles (PBE) data for a relaxed LiPuRuRh crystal, as listed in Alexandria.

Total magnetization = 4.00 μB/f.u.
ΔE_f = -0.2835 eV per atom
E_tot = -8.502 eV per atom
Density of states at the Fermi level = 4.087 states/eV/f.u.

```
data_LiPuRuRh
_cell_length_a 4.482
_cell_length_b 4.482
_cell_length_c 4.482
_cell_angle_alpha 60.00
_cell_angle_beta 60.00
_cell_angle_gamma 60.00
_space_group_name_H-M_alt 'P 1'
_space_group_IT_number 1
loop_
_space_group_symop_operation_xyz
'x,y,z'
loop_
_atom_site_label
_atom_site_fract_x
_atom_site_fract_y
_atom_site_fract_z
Li1 0.000 0.000 0.000
Pu1 0.500 0.500 0.500
Ru1 0.250 0.250 0.250
Rh1 0.750 0.750 0.750
```